Density functional theory data (PBE-GGA) for a geometry-optimized Na2Cu5Si4O14 structure.

Geometry as POSCAR:
```
Na2Cu5Si4O14
1.0
4.2928 2.5277 1.1848
0.7929 -3.8120 7.7511
2.7982 -4.6654 -7.2966
Na Cu Si O
2 5 4 14
Direct
0.4575 0.8043 0.1747
0.5425 0.1957 0.8253
0.9637 0.4756 0.1196
0.5000 0.5000 0.5000
0.0363 0.5244 0.8804
0.5422 0.2826 0.2234
0.4578 0.7174 0.7766
0.8353 0.7272 0.6776
0.9448 0.9090 0.5573
0.0552 0.0910 0.4427
0.1647 0.2728 0.3224
0.5456 0.9242 0.9968
0.1678 0.0502 0.2705
0.9123 0.3198 0.2139
0.0877 0.6802 0.7861
0.7772 0.9881 0.4300
0.5424 0.4910 0.0707
0.8322 0.9498 0.7295
0.4544 0.0758 0.0032
0.2228 0.0119 0.5700
0.0565 0.3023 0.5081
0.9777 0.3255 0.8863
0.0223 0.6745 0.1137
0.9435 0.6977 0.4919
0.4576 0.5090 0.9293
```

VASP energy in eV/atom: -5.7579
Magnetic moment in μB per formula unit: 2.24
Excess energy over the best structure of this formula in the dataset in meV per atom: 561
Formation energy without anion corrections in eV per atom: -1.19

=====

Density functional theory data (PBE-GGA) for a geometry-optimized Rb2CuAu2 structure.

Geometry as POSCAR:
```
Rb2CuAu2
1.0
6.7240 0.0000 0.0000
0.0000 6.7240 0.0000
3.3620 3.3620 3.8933
Au Cu Rb
2 1 2
Direct
0.3245 0.3245 0.3509
0.6755 0.6755 0.6491
0.0000 0.0000 0.0000
0.7500 0.2500 0.5000
0.2500 0.7500 0.5000
```

VASP energy in eV/atom: -2.5447
Magnetic moment in μB per formula unit: 0.00
ΔH_f (0 K) in eV per formula unit: -0.1
Excess energy over the best structure of this formula in the dataset in meV per atom: 0

=====

Density functional theory data (PBE-GGA) for a geometry-optimized Ac3BiRh structure.

Geometry as POSCAR:
```
Ac3BiRh
1.0
4.6270 0.0000 0.0000
0.0000 9.5162 0.0000
0.0000 0.0000 16.3500
Ac Bi Rh
12 4 4
Direct
0.7500 0.1981 0.2885
0.2500 0.6571 0.9912
0.2500 0.0220 0.1035
0.2500 0.5220 0.3965
0.2500 0.1571 0.5088
0.7500 0.4780 0.6035
0.2500 0.3019 0.7885
0.7500 0.9780 0.8965
0.7500 0.3429 0.0088
0.7500 0.6981 0.2115
0.7500 0.8429 0.4912
0.2500 0.8019 0.7115
0.2500 0.9158 0.3213
0.7500 0.0842 0.6787
0.7500 0.5842 0.8213
0.2500 0.4158 0.1787
0.2500 0.6708 0.5565
0.7500 0.3292 0.4435
0.7500 0.8292 0.0565
0.2500 0.1708 0.9435
```

VASP energy in eV/atom: -5.4227
Magnetic moment in μB per formula unit: 0.00
ΔH_f (0 K) in eV per formula unit: -3.6
Excess energy over the best structure of this formula in the dataset in meV per atom: 0

=====

- Which formula does entry 1 have?
  Na2Cu5Si4O14

=====

- VASP energy of number 1 (Na2Cu5Si4O14)?
  -5.7579 eV/atom

=====

- Which of these has the highest excess energy over the best structure of this formula in the dataset?
  Na2Cu5Si4O14

=====

- Which of these has the highest excess energy over the best structure of this formula in the dataset?
  Na2Cu5Si4O14